(1)
Material: CaNi12
Method: DFT, PBE-GGA
State: relaxed

Cell: 8.231 8.231 4.698 Å, 90.00 90.00 90.00°
Space group I4/mmm (No. 139)
Unique sites:
1 Ca 0.000 0.000 0.000 (multiplicity 2)
2 Ni 0.000 0.227 0.500 (multiplicity 8)
3 Ni 0.000 0.356 0.000 (multiplicity 8)
4 Ni 0.250 0.250 0.250 (multiplicity 8)

Calculated formation energy, eV/atom: -0.009

(2)
Material: Ga2SiGe
Method: DFT, PBE-GGA
State: relaxed

Cell: 2.9102 2.9102 29.9842 Å, 90.00 90.00 120.00°
Space group R-3m (No. 166, hexagonal axes)
Unique sites:
1 Ga 0.0000 0.0000 0.0858 (multiplicity 6)
2 Si 0.0000 0.0000 0.0000 (multiplicity 3)
3 Ge 0.0000 0.0000 0.5000 (multiplicity 3)

Formation energy without anion corrections, meV/atom: 258.5

| no. | size of the total moment (μB/f.u.) | E (eV/atom) |
| --- | --- | --- |
| 1 | 6.5 | -5.500 |
| 2 | 0.0 | -3.765 |